## Dy2LuAl (PBE-GGA)

Data for a relaxed Dy2LuAl crystal.

The space group is R-3m (No. 166, hexagonal axes) and the conventional cell measures 3.4335, 3.4335 and 34.1521 Å, with angles of 90.00, 90.00 and 120.00 degrees. The asymmetric unit holds Dy at (0.0000, 0.0000, 0.0991), Lu at (0.0000, 0.0000, 0.0000) and Al at (0.0000, 0.0000, 0.5000).

The calculation puts the formation energy at 0.5 eV/f.u. The total magnetic moment is 1.79 μB/cell. The calculation puts the final energy at -4.24 eV per atom.